1.
{
  "formula": "HoZrCd4",
  "functional": "PBE",
  "state": "relaxed",
  "space_group": "No. 216",
  "e_tot_ha_per_atom": -0.1068,
  "polymorph_energy_mev_per_atom": 71,
  "formation_energy_mev_per_atom": -108.3,
  "lattice_angstrom": [[0.000, 4.092, 4.092], [4.092, 0.000, 4.092], [4.092, 4.092, 0.000]],
  "species": ["Ho", "Zr", "Cd", "Cd", "Cd", "Cd"],
  "frac_coords": [[0.000, 0.000, 0.000], [0.750, 0.750, 0.750], [0.375, 0.375, 0.375], [0.375, 0.375, 0.874], [0.375, 0.874, 0.375], [0.874, 0.375, 0.375]]
}

=====

2.
{
  "formula": "LaHgN",
  "functional": "PBE",
  "state": "relaxed",
  "space_group": "No. 71",
  "e_tot_ha_per_atom": -0.1883,
  "formation_energy_uncorrected_ev_per_fu": -1.82,
  "lattice_angstrom": [[4.084, 0.000, 0.000], [0.000, 5.246, 0.000], [0.000, 0.000, 14.482]],
  "species": ["La", "La", "La", "La", "Hg", "Hg", "Hg", "Hg", "N", "N", "N", "N"],
  "frac_coords": [[0.000, 0.000, 0.194], [0.000, 0.000, 0.806], [0.500, 0.500, 0.306], [0.500, 0.500, 0.694], [0.000, 0.247, 0.500], [0.000, 0.753, 0.500], [0.500, 0.253, 0.000], [0.500, 0.747, 0.000], [0.000, 0.500, 0.230], [0.000, 0.500, 0.770], [0.500, 0.000, 0.270], [0.500, 0.000, 0.730]]
}